Entry from Alexandria: a geometry-optimized Th2FeSe5 structure (PBE-GGA).

```
16
Lattice="7.849 -3.336 0.000 7.849 3.336 0.000 -0.947 0.000 7.510" Properties=species:S:1:pos:R:3 pbc="T T T"
Th 5.305 1.900 6.880
Th 8.972 1.900 4.386
Th 5.779 -1.900 3.125
Th 9.445 -1.900 0.631
Fe 3.451 1.668 3.755
Fe 3.924 -1.668 0.000
Se 7.612 2.763 1.878
Se 2.702 0.527 6.112
Se 5.896 0.820 4.261
Se 3.175 -0.527 2.357
Se 8.380 0.820 7.004
Se 6.370 -0.820 0.506
Se 11.575 0.527 5.153
Se 8.854 -0.820 3.249
Se 12.049 -0.527 1.398
Se 7.138 -2.763 5.633
```

Fermi-level density of states in states/eV/atom: 0.351
Crystal system: monoclinic
Formation energy (no corrections) in kJ/mol of formula units: -1011
Total DFT energy (no corrections) in eV per atom: -6.4004



Entry from Alexandria: a geometry-optimized Th5Fe2Se2 structure (PBE-GGA).

```
18
Lattice="7.591 -4.125 0.000 7.591 4.125 0.000 0.000 0.000 7.222" Properties=species:S:1:pos:R:3 pbc="T T T"
Th 0.000 0.000 0.000
Th 5.777 2.708 4.672
Th 5.777 1.417 1.061
Th 9.405 2.708 4.672
Th 9.405 1.417 1.061
Th 7.591 0.000 3.611
Th 5.777 -1.417 6.161
Th 5.777 -2.708 2.550
Th 9.405 -1.417 6.161
Th 9.405 -2.708 2.550
Fe 7.591 3.226 2.431
Fe 7.591 0.898 6.042
Fe 7.591 -0.898 1.180
Fe 7.591 -3.226 4.791
Se 3.081 0.000 0.000
Se 4.510 0.000 3.611
Se 10.672 0.000 3.611
Se 12.101 0.000 0.000
```

Fermi-level density of states in states/eV/atom: 0.956
Crystal system: orthorhombic
Formation energy (no corrections) in kJ/mol of formula units: -582
Total DFT energy (no corrections) in eV per atom: -7.4467



Entry from Alexandria: a geometry-optimized ThFeSe2 structure (PBE-GGA).

```
4
Lattice="2.013 1.162 8.357 -2.013 1.162 8.357 0.000 -2.325 8.357" Properties=species:S:1:pos:R:3 pbc="T T T"
Th 0.000 0.000 0.000
Fe 0.000 0.000 12.535
Se 0.000 0.000 10.189
Se 0.000 0.000 14.881
```

Fermi-level density of states in states/eV/atom: 1.536
Crystal system: trigonal
Formation energy (no corrections) in kJ/mol of formula units: -191
Total DFT energy (no corrections) in eV per atom: -6.2075



Entry from Alexandria: a geometry-optimized Ti2FeSe2 structure (PBE-GGA).

```
10
Lattice="7.076 0.000 0.000 0.000 7.076 0.000 0.000 0.000 3.322" Properties=species:S:1:pos:R:3 pbc="T T T"
Ti 1.031 2.507 0.000
Ti 2.507 6.045 0.000
Ti 4.569 1.031 0.000
Ti 6.045 4.569 0.000
Fe 0.000 0.000 0.000
Fe 3.538 3.538 0.000
Se 1.079 4.617 1.661
Se 2.459 1.079 1.661
Se 4.617 5.997 1.661
Se 5.997 2.459 1.661
```

Fermi-level density of states in states/eV/atom: 0.917
Crystal system: tetragonal
Formation energy (no corrections) in kJ/mol of formula units: -179
Total DFT energy (no corrections) in eV per atom: -6.6155



Entry from Alexandria: a geometry-optimized Ti3FeSe structure (PBE-GGA).

```
5
Lattice="4.492 0.000 0.000 0.000 4.492 0.000 0.000 0.000 4.492" Properties=species:S:1:pos:R:3 pbc="T T T"
Ti 0.000 0.000 2.246
Ti 0.000 2.246 0.000
Ti 2.246 0.000 0.000
Fe 0.000 0.000 0.000
Se 2.246 2.246 2.246
```

Fermi-level density of states in states/eV/atom: 0.688
Energy above the most stable polymorph in this dataset in meV per atom: 0
Crystal system: cubic
Formation energy (no corrections) in kJ/mol of formula units: 33
Total DFT energy (no corrections) in eV per atom: -7.0582



Entry from Alexandria: a geometry-optimized Ti2FeSe6 structure (PBE-GGA).

```
18
Lattice="6.272 0.000 0.000 0.000 6.480 0.000 -5.777 0.000 8.384" Properties=species:S:1:pos:R:3 pbc="T T T"
Ti -0.061 0.936 2.104
Ti -2.949 2.304 6.296
Ti 3.444 4.176 2.088
Ti 0.556 5.544 6.280
Fe -2.889 0.000 4.192
Fe 0.000 3.240 0.000
Se -4.802 1.103 7.785
Se -1.913 2.137 3.593
Se -3.696 4.340 7.791
Se -0.807 5.380 3.599
Se -1.796 0.079 6.314
Se 1.092 3.161 2.122
Se -0.597 3.319 6.262
Se 2.291 6.401 2.070
Se 1.303 1.100 4.785
Se 4.191 2.140 0.593
Se 2.409 4.343 4.791
Se 5.297 5.377 0.599
```

Fermi-level density of states in states/eV/atom: 0.755
Crystal system: monoclinic
Formation energy (no corrections) in kJ/mol of formula units: -559
Total DFT energy (no corrections) in eV per atom: -5.6614



Entry from Alexandria: a geometry-optimized Ti3FeSe structure (PBE-GGA).

```
5
Lattice="4.628 0.000 0.000 0.000 4.628 0.000 0.000 0.000 4.628" Properties=species:S:1:pos:R:3 pbc="T T T"
Ti 0.000 0.000 2.314
Ti 0.000 2.314 0.000
Ti 2.314 0.000 0.000
Fe 2.314 2.314 2.314
Se 0.000 0.000 0.000
```

Fermi-level density of states in states/eV/atom: 1.157
Energy above the most stable polymorph in this dataset in meV per atom: 281
Crystal system: cubic
Formation energy (no corrections) in kJ/mol of formula units: 168
Total DFT energy (no corrections) in eV per atom: -6.7774



Entry from Alexandria: a geometry-optimized TiTlFeSe3 structure (PBE-GGA).

```
12
Lattice="8.346 0.000 0.000 0.000 3.629 0.000 -3.861 0.000 9.250" Properties=species:S:1:pos:R:3 pbc="T T T"
Ti -1.033 0.907 3.040
Ti 5.518 2.722 6.209
Tl 1.134 2.722 7.239
Tl 3.351 0.907 2.011
Fe -0.158 2.722 0.903
Fe 4.644 0.907 8.346
Se -0.984 0.907 5.699
Se -2.074 2.722 8.673
Se 0.776 2.722 3.113
Se 3.709 0.907 6.137
Se 6.559 0.907 0.577
Se 5.469 2.722 3.550
```

Fermi-level density of states in states/eV/atom: 0.526
Crystal system: monoclinic
Formation energy (no corrections) in kJ/mol of formula units: -406
Total DFT energy (no corrections) in eV per atom: -5.5637



Entry from Alexandria: a geometry-optimized ZrTiFe2Se structure (PBE-GGA).

```
5
Lattice="4.348 0.000 0.000 0.000 4.348 0.000 0.000 0.000 4.768" Properties=species:S:1:pos:R:3 pbc="T T T"
Zr 0.000 0.000 0.000
Ti 2.174 2.174 2.384
Fe 0.000 2.174 2.384
Fe 2.174 0.000 2.384
Se 2.174 2.174 0.000
```

Fermi-level density of states in states/eV/atom: 1.294
Crystal system: tetragonal
Formation energy (no corrections) in kJ/mol of formula units: 228
Total DFT energy (no corrections) in eV per atom: -6.8976



Entry from Alexandria: a geometry-optimized TlFe2Se structure (PBE-GGA).

```
4
Lattice="3.162 0.000 0.000 0.000 3.162 0.000 0.000 0.000 7.376" Properties=species:S:1:pos:R:3 pbc="T T T"
Tl 0.000 0.000 0.000
Fe 0.000 0.000 3.122
Fe 1.581 1.581 1.868
Se 1.581 1.581 4.333
```

Fermi-level density of states in states/eV/atom: 0.607
Energy above the most stable polymorph in this dataset in meV per atom: 0
Crystal system: tetragonal
Formation energy (no corrections) in kJ/mol of formula units: 69
Total DFT energy (no corrections) in eV per atom: -5.5151



Entry from Alexandria: a geometry-optimized TlFe2Se structure (PBE-GGA).

```
8
Lattice="-3.366 3.366 3.023 3.366 -3.366 3.023 3.366 3.366 -3.023" Properties=species:S:1:pos:R:3 pbc="T T T"
Tl 0.000 0.000 0.000
Tl 0.000 3.366 1.512
Fe 1.683 -1.233 2.267
Fe 2.133 1.683 0.756
Fe 1.683 4.599 -0.756
Fe 1.233 1.683 3.779
Se 3.366 0.000 1.512
Se 0.000 0.000 3.023
```

Fermi-level density of states in states/eV/atom: 1.478
Energy above the most stable polymorph in this dataset in meV per atom: 519
Crystal system: tetragonal
Formation energy (no corrections) in kJ/mol of formula units: 269
Total DFT energy (no corrections) in eV per atom: -4.9965



Entry from Alexandria: a geometry-optimized TlFe2Se structure (PBE-GGA).

```
4
Lattice="3.929 -1.645 0.000 3.929 1.645 0.000 -1.528 0.000 6.218" Properties=species:S:1:pos:R:3 pbc="T T T"
Tl 0.000 0.000 0.000
Fe 3.253 0.000 2.587
Fe 5.626 0.000 1.686
Se 0.973 0.000 3.429
```

Fermi-level density of states in states/eV/atom: 0.752
Energy above the most stable polymorph in this dataset in meV per atom: 51
Crystal system: monoclinic
Formation energy (no corrections) in kJ/mol of formula units: 89
Total DFT energy (no corrections) in eV per atom: -5.4644



Entry from Alexandria: a geometry-optimized TlFeSe2 structure (PBE-GGA).

```
4
Lattice="1.766 1.019 8.254 -1.766 1.019 8.254 0.000 -2.039 8.254" Properties=species:S:1:pos:R:3 pbc="T T T"
Tl 0.000 0.000 0.000
Fe 0.000 0.000 20.662
Se 0.000 0.000 5.476
Se 0.000 0.000 11.082
```

Fermi-level density of states in states/eV/atom: 0.984
Crystal system: trigonal
Formation energy (no corrections) in kJ/mol of formula units: -85
Total DFT energy (no corrections) in eV per atom: -4.6709



Entry from Alexandria: a geometry-optimized Tl3FeSe3 structure (PBE-GGA).

```
28
Lattice="7.940 0.000 0.000 0.000 13.372 0.000 -6.301 0.000 7.917" Properties=species:S:1:pos:R:3 pbc="T T T"
Tl -2.092 2.197 3.523
Tl -5.243 4.490 7.481
Tl 2.378 7.857 0.922
Tl -0.773 12.201 4.881
Tl 0.004 8.633 4.013
Tl 3.155 11.425 0.055
Tl -1.516 1.947 7.862
Tl 1.634 4.739 3.904
Tl 2.411 1.171 3.036
Tl -0.740 5.515 6.994
Tl 6.881 8.883 0.435
Tl 3.731 11.176 4.394
Fe -3.534 7.294 5.070
Fe -0.384 12.765 1.112
Fe 2.022 0.608 6.805
Fe 5.173 6.078 2.846
Se 0.102 1.743 0.978
Se -3.049 4.943 4.937
Se -3.699 0.633 5.996
Se -0.548 6.053 2.037
Se -1.909 8.331 6.507
Se 1.242 11.727 2.549
Se 0.396 1.645 5.368
Se 3.547 5.041 1.409
Se 2.186 7.319 5.879
Se 5.337 12.739 1.921
Se 4.687 8.429 2.980
Se 1.536 11.629 6.938
```

Fermi-level density of states in states/eV/atom: 0.283
Crystal system: monoclinic
Formation energy (no corrections) in kJ/mol of formula units: -214
Total DFT energy (no corrections) in eV per atom: -4.0331



Entry from Alexandria: a geometry-optimized TlFeSe2 structure (PBE-GGA).

```
4
Lattice="3.793 0.000 0.000 0.000 3.900 0.000 0.000 0.000 7.157" Properties=species:S:1:pos:R:3 pbc="T T T"
Tl 0.000 0.000 0.000
Fe 0.000 1.950 3.579
Se 1.897 0.000 3.579
Se 1.897 1.950 0.000
```

Fermi-level density of states in states/eV/atom: 1.142
Crystal system: orthorhombic
Formation energy (no corrections) in kJ/mol of formula units: 126
Total DFT energy (no corrections) in eV per atom: -4.1224



Entry from Alexandria: a geometry-optimized TlFeSe2 structure (PBE-GGA).

```
8
Lattice="3.972 -5.374 0.000 3.972 5.374 0.000 -2.222 0.000 5.013" Properties=species:S:1:pos:R:3 pbc="T T T"
Tl 2.305 3.889 3.760
Tl 3.416 -3.889 1.253
Fe 3.416 0.065 1.253
Fe 2.305 -0.065 3.760
Se 0.467 1.241 4.390
Se 1.578 -1.241 1.883
Se 4.144 1.241 3.130
Se 5.255 -1.241 0.623
```

Fermi-level density of states in states/eV/atom: 0.541
Crystal system: monoclinic
Formation energy (no corrections) in kJ/mol of formula units: -107
Total DFT energy (no corrections) in eV per atom: -4.7262



Entry from Alexandria: a geometry-optimized TlFeSe2 structure (PBE-GGA).

```
4
Lattice="3.476 0.000 0.000 0.000 3.490 0.000 0.000 0.000 8.507" Properties=species:S:1:pos:R:3 pbc="T T T"
Tl 0.000 0.000 0.000
Fe 1.738 1.745 4.219
Se 0.000 0.000 4.938
Se 1.738 1.745 1.909
```

Fermi-level density of states in states/eV/atom: 1.012
Crystal system: orthorhombic
Formation energy (no corrections) in kJ/mol of formula units: -14
Total DFT energy (no corrections) in eV per atom: -4.4869



Entry from Alexandria: a geometry-optimized TlFeSe2 structure (PBE-GGA).

```
4
Lattice="4.394 0.000 0.000 0.000 3.461 0.000 -0.532 0.000 7.174" Properties=species:S:1:pos:R:3 pbc="T T T"
Tl 0.000 0.000 0.000
Fe 1.931 0.000 3.587
Se 1.680 1.730 5.216
Se 2.181 1.730 1.958
```

Fermi-level density of states in states/eV/atom: 0.780
Crystal system: monoclinic
Formation energy (no corrections) in kJ/mol of formula units: -48
Total DFT energy (no corrections) in eV per atom: -4.5743



Entry from Alexandria: a geometry-optimized TlFeSe2 structure (PBE-GGA).

```
4
Lattice="-2.468 2.468 3.537 2.468 -2.468 3.537 2.468 2.468 -3.537" Properties=species:S:1:pos:R:3 pbc="T T T"
Tl 0.000 0.000 0.000
Fe 0.000 0.000 3.537
Se 2.468 0.000 1.768
Se 0.000 2.468 1.768
```

Fermi-level density of states in states/eV/atom: 1.729
Crystal system: tetragonal
Formation energy (no corrections) in kJ/mol of formula units: 153
Total DFT energy (no corrections) in eV per atom: -4.0523



Entry from Alexandria: a geometry-optimized TlFe2Se structure (PBE-GGA).

```
4
Lattice="-1.512 2.276 5.301 1.512 -2.276 5.301 1.512 2.276 -5.301" Properties=species:S:1:pos:R:3 pbc="T T T"
Tl 0.000 0.000 0.000
Fe 0.000 0.000 4.929
Fe 0.000 2.276 1.641
Se 1.512 0.000 2.922
```

Fermi-level density of states in states/eV/atom: 0.838
Energy above the most stable polymorph in this dataset in meV per atom: 210
Crystal system: orthorhombic
Formation energy (no corrections) in kJ/mol of formula units: 150
Total DFT energy (no corrections) in eV per atom: -5.3051



Entry from Alexandria: a geometry-optimized TlFe2Se structure (PBE-GGA).

```
4
Lattice="3.379 0.000 0.000 0.000 3.858 0.000 -0.617 0.000 5.930" Properties=species:S:1:pos:R:3 pbc="T T T"
Tl 0.000 0.000 0.000
Fe 0.339 1.929 3.942
Fe 2.422 1.929 1.988
Se 1.381 0.000 2.965
```

Fermi-level density of states in states/eV/atom: 0.830
Energy above the most stable polymorph in this dataset in meV per atom: 271
Crystal system: monoclinic
Formation energy (no corrections) in kJ/mol of formula units: 174
Total DFT energy (no corrections) in eV per atom: -5.2439



Entry from Alexandria: a geometry-optimized TlFeSe2 structure (PBE-GGA).

```
4
Lattice="2.936 -4.019 0.000 2.936 4.019 0.000 -1.495 0.000 3.833" Properties=species:S:1:pos:R:3 pbc="T T T"
Tl 0.000 0.000 0.000
Fe 2.936 0.000 0.000
Se 0.721 2.009 1.916
Se 0.721 -2.009 1.916
```

Fermi-level density of states in states/eV/atom: 0.960
Crystal system: monoclinic
Formation energy (no corrections) in kJ/mol of formula units: 136
Total DFT energy (no corrections) in eV per atom: -4.0973



Entry from Alexandria: a geometry-optimized TlFe4Se structure (PBE-GGA).

```
6
Lattice="0.000 3.604 3.604 3.604 0.000 3.604 3.604 3.604 0.000" Properties=species:S:1:pos:R:3 pbc="T T T"
Tl 0.000 0.000 0.000
Fe 4.512 2.697 2.697
Fe 2.697 4.512 2.697
Fe 2.697 2.697 4.512
Fe 4.512 4.512 4.512
Se 1.802 1.802 1.802
```

Fermi-level density of states in states/eV/atom: 0.738
Crystal system: cubic
Formation energy (no corrections) in kJ/mol of formula units: 246
Total DFT energy (no corrections) in eV per atom: -6.1920



Entry from Alexandria: a geometry-optimized TlFe3Se structure (PBE-GGA).

```
5
Lattice="4.922 0.000 0.000 0.000 4.922 0.000 0.000 0.000 4.922" Properties=species:S:1:pos:R:3 pbc="T T T"
Tl 0.000 0.000 0.000
Fe 0.000 0.000 2.461
Fe 0.000 2.461 0.000
Fe 2.461 0.000 0.000
Se 2.461 2.461 2.461
```

Fermi-level density of states in states/eV/atom: 2.261
Energy above the most stable polymorph in this dataset in meV per atom: 1042
Crystal system: cubic
Formation energy (no corrections) in kJ/mol of formula units: 784
Total DFT energy (no corrections) in eV per atom: -4.6234



Entry from Alexandria: a geometry-optimized TlFeSe2 structure (PBE-GGA).

```
4
Lattice="-1.720 3.155 4.775 1.720 -3.155 4.775 1.720 3.155 -4.775" Properties=species:S:1:pos:R:3 pbc="T T T"
Tl 0.000 0.000 0.000
Fe 0.000 0.000 4.775
Se 1.720 0.000 3.132
Se 0.000 3.155 1.643
```

Fermi-level density of states in states/eV/atom: 0.575
Crystal system: orthorhombic
Formation energy (no corrections) in kJ/mol of formula units: -33
Total DFT energy (no corrections) in eV per atom: -4.5361